(1)
EuErZr2 | PBE | optimized geometry

a = 3.2913 Å, b = 3.2913 Å, c = 35.2813 Å
α = 90.00°, β = 90.00°, γ = 120.00°
Closest atoms and distances in Å follow each position.
Space group R-3m (No. 166, hexagonal axes)
Asymmetric unit:
Eu: 0.0000 0.0000 0.0000 x3  2 Zr 3.20, 6 Eu 3.29
Er: 0.0000 0.0000 0.5000 x3  6 Zr 3.29, 6 Er 3.29
Zr: 0.0000 0.0000 0.0907 x6  1 Eu 3.20, 3 Er 3.29, 6 Zr 3.29

Computed properties:
energy relative to the elements	7.30	kcal/mol of atoms
N(E_F)	1.467	states/eV/atom



(2)
CdAs2PBr | PBE | optimized geometry

a = 5.2746 Å, b = 5.2746 Å, c = 5.2929 Å
α = 90.00°, β = 90.00°, γ = 90.00°
Closest atoms and distances in Å follow each position.
Space group P4/mmm (No. 123)
Asymmetric unit:
Cd: 0.0000 0.0000 0.0000 x1  4 As 2.64, 2 Br 2.65
As: 0.0000 0.5000 0.0000 x2  2 Cd 2.64
P: 0.5000 0.5000 0.5000 x1  4 Br 3.73, 8 As 3.74
Br: 0.0000 0.0000 0.5000 x1  2 Cd 2.65

Computed properties:
N(E_F)	0.813	states/eV/atom
formation energy without anion corrections	1105	meV per atom
E above lowest polymorph	0.574	eV/atom



(3)
Sc2AgSn4 | PBE | optimized geometry

a = 6.3172 Å, b = 6.3172 Å, c = 8.5209 Å
α = 90.00°, β = 90.00°, γ = 90.00°
Closest atoms and distances in Å follow each position.
Space group I4/mmm (No. 139)
Asymmetric unit:
Sc: 0.0000 0.5000 0.0000 x4  8 Sn 3.09, 2 Ag 3.16
Ag: 0.0000 0.0000 0.0000 x2  8 Sn 3.09, 4 Sc 3.16
Sn: 0.2500 0.2500 0.2500 x8  2 Ag 3.09, 4 Sc 3.09, 4 Sn 3.16

Computed properties:
energy relative to the elements	-7.67	kcal/mol of atoms
N(E_F)	0.508	states/eV/atom



- Which formula does entry 1 have?
  EuErZr2



- What is the formula in the second record?
  CdAs2PBr



Repeat the first record exactly.
EuErZr2 | PBE | optimized geometry

a = 3.2913 Å, b = 3.2913 Å, c = 35.2813 Å
α = 90.00°, β = 90.00°, γ = 120.00°
Closest atoms and distances in Å follow each position.
Space group R-3m (No. 166, hexagonal axes)
Asymmetric unit:
Eu: 0.0000 0.0000 0.0000 x3  2 Zr 3.20, 6 Eu 3.29
Er: 0.0000 0.0000 0.5000 x3  6 Zr 3.29, 6 Er 3.29
Zr: 0.0000 0.0000 0.0907 x6  1 Eu 3.20, 3 Er 3.29, 6 Zr 3.29

Computed properties:
energy relative to the elements	7.30	kcal/mol of atoms
N(E_F)	1.467	states/eV/atom